[1]
Computed, not measured: a relaxed NaSrYCl6 crystal at the GGA-PBE level of DFT.

abc: 7.213 7.213 12.257
angles: 90.00 90.00 120.00
Fractional coordinates of all 18 atoms:
1 Na 0.000 0.000 0.000
2 Na 0.000 0.000 0.500
3 Sr 0.333 0.667 0.250
4 Sr 0.667 0.333 0.750
5 Y 0.667 0.333 0.250
6 Y 0.333 0.667 0.750
7 Cl 0.666 0.639 0.129
8 Cl 0.973 0.334 0.129
9 Cl 0.334 0.973 0.629
10 Cl 0.027 0.666 0.871
11 Cl 0.361 0.334 0.371
12 Cl 0.973 0.639 0.371
13 Cl 0.639 0.973 0.871
14 Cl 0.666 0.027 0.371
15 Cl 0.027 0.361 0.629
16 Cl 0.361 0.027 0.129
17 Cl 0.639 0.666 0.629
18 Cl 0.334 0.361 0.871

Calculated values
ΔE_f (raw): -20.1 eV per formula unit

[2]
Computed, not measured: a relaxed Cr2SbAu crystal at the GGA-PBE level of DFT.

abc: 4.392 3.772 4.392
angles: 90.00 90.00 90.00
Last column: magnetic moment on the atom in μB.
Fractional coordinates of all 4 atoms:
1 Au 0.500 0.625 0.875  0.06
2 Cr 0.000 0.125 0.875  3.48
3 Cr 0.500 0.125 0.375  3.48
4 Sb 0.000 0.625 0.375  -0.14

Calculated values
ΔE_f (raw): 1.1 eV per formula unit

[3]
Computed, not measured: a relaxed PrHoRh crystal at the GGA-PBE level of DFT.

abc: 3.870 7.133 6.487
angles: 73.96 72.60 74.27
Fractional coordinates of all 6 atoms:
1 Rh 0.135 0.306 0.424
2 Rh 0.865 0.694 0.576
3 Ho 0.825 0.078 0.271
4 Ho 0.175 0.922 0.729
5 Pr 0.581 0.628 0.211
6 Pr 0.419 0.372 0.789

Calculated values
ΔE to the lowest computed polymorph: 0 meV/atom
Calculated formation energy: -578 meV/atom

[4]
Computed, not measured: a relaxed CrAg2W crystal at the GGA-PBE level of DFT.

abc: 4.886 4.886 4.886
angles: 131.19 131.19 71.51
Last column: magnetic moment on the atom in μB.
Fractional coordinates of all 4 atoms:
1 Ag 0.000 0.000 0.000  -0.06
2 Ag 0.250 0.750 0.500  -0.02
3 Cr 0.500 0.500 0.000  2.62
4 W 0.750 0.250 0.500  -1.10

Calculated values
ΔE to the lowest computed polymorph: 374 meV/atom
Calculated formation energy: 757 meV/atom

What did the fourth record say?
Computed, not measured: a relaxed CrAg2W crystal at the GGA-PBE level of DFT.

abc: 4.886 4.886 4.886
angles: 131.19 131.19 71.51
Last column: magnetic moment on the atom in μB.
Fractional coordinates of all 4 atoms:
1 Ag 0.000 0.000 0.000  -0.06
2 Ag 0.250 0.750 0.500  -0.02
3 Cr 0.500 0.500 0.000  2.62
4 W 0.750 0.250 0.500  -1.10

Calculated values
ΔE to the lowest computed polymorph: 374 meV/atom
Calculated formation energy: 757 meV/atom

Please write out number 4 again, unchanged.
Computed, not measured: a relaxed CrAg2W crystal at the GGA-PBE level of DFT.

abc: 4.886 4.886 4.886
angles: 131.19 131.19 71.51
Last column: magnetic moment on the atom in μB.
Fractional coordinates of all 4 atoms:
1 Ag 0.000 0.000 0.000  -0.06
2 Ag 0.250 0.750 0.500  -0.02
3 Cr 0.500 0.500 0.000  2.62
4 W 0.750 0.250 0.500  -1.10

Calculated values
ΔE to the lowest computed polymorph: 374 meV/atom
Calculated formation energy: 757 meV/atom

> Which formula does entry 2 have?

Cr2SbAu